An optimized crystal structure of YScZn2. Source: Alexandria via LeMat-Bulk, functional PBE.

It has space group I-4m2 (No. 119), with a = 4.205 Å, b = 4.205 Å, c = 9.552 Å, α = 90.00°, β = 90.00° and γ = 90.00°. The asymmetric unit holds Y at (0.000, 0.000, 0.000), Sc at (0.000, 0.500, 0.250), Zn at (0.000, 0.000, 0.500) and Zn at (0.000, 0.500, 0.750).

For the electronic total energy, the calculation gives -31.77 eV/cell. The calculation puts the energy relative to the elements at -0.1349 eV/atom.